First-principles (PBE) data for a relaxed NpMn2Pt crystal, as listed in Alexandria.

CIF file:
```
data_NpMn2Pt
_space_group_name_H-M_alt 'P 4/m m m'
_space_group_IT_number 123
_space_group_name_Hall '-P 4 2'
_cell_length_a 4.083
_cell_length_b 4.083
_cell_length_c 3.852
_cell_angle_alpha 90.00
_cell_angle_beta 90.00
_cell_angle_gamma 90.00
loop_
_atom_site_label
_atom_site_fract_x
_atom_site_fract_y
_atom_site_fract_z
_atom_site_occupancy
Np1 0.000 0.000 0.000 1
Mn1 0.000 0.500 0.500 1
Pt1 0.500 0.500 0.000 1
```

Output
D(E_F)	0.912	states/eV per atom
formation energy	-0.2078	eV/atom

---

First-principles (PBE) data for a relaxed NpMnPt2 crystal, as listed in Alexandria.

CIF file:
```
data_NpMnPt2
_space_group_name_H-M_alt 'P 4/m m m'
_space_group_IT_number 123
_space_group_name_Hall '-P 4 2'
_cell_length_a 3.025
_cell_length_b 3.025
_cell_length_c 7.601
_cell_angle_alpha 90.00
_cell_angle_beta 90.00
_cell_angle_gamma 90.00
loop_
_atom_site_label
_atom_site_fract_x
_atom_site_fract_y
_atom_site_fract_z
_atom_site_occupancy
Np1 0.000 0.000 0.000 1
Mn1 0.000 0.000 0.500 1
Pt1 0.500 0.500 0.286 1
```

Output
D(E_F)	1.297	states/eV per atom
formation energy	-0.3725	eV/atom

---

First-principles (PBE) data for a relaxed PuNpMnPt crystal, as listed in Alexandria.

CIF file:
```
data_PuNpMnPt
_space_group_name_H-M_alt 'F -4 3 m'
_space_group_IT_number 216
_space_group_name_Hall 'F -4 2 3'
_cell_length_a 6.868
_cell_length_b 6.868
_cell_length_c 6.868
_cell_angle_alpha 90.00
_cell_angle_beta 90.00
_cell_angle_gamma 90.00
loop_
_atom_site_label
_atom_site_fract_x
_atom_site_fract_y
_atom_site_fract_z
_atom_site_occupancy
Pu1 0.000 0.000 0.000 1
Np1 0.000 0.000 0.500 1
Mn1 0.250 0.250 0.750 1
Pt1 0.250 0.250 0.250 1
```

Output
D(E_F)	2.949	states/eV per atom
formation energy	-0.1232	eV/atom

---

First-principles (PBE) data for a relaxed NpMnPtRh crystal, as listed in Alexandria.

CIF file:
```
data_NpMnPtRh
_space_group_name_H-M_alt 'F -4 3 m'
_space_group_IT_number 216
_space_group_name_Hall 'F -4 2 3'
_cell_length_a 6.606
_cell_length_b 6.606
_cell_length_c 6.606
_cell_angle_alpha 90.00
_cell_angle_beta 90.00
_cell_angle_gamma 90.00
loop_
_atom_site_label
_atom_site_fract_x
_atom_site_fract_y
_atom_site_fract_z
_atom_site_occupancy
Np1 0.000 0.000 0.000 1
Mn1 0.000 0.000 0.500 1
Pt1 0.250 0.250 0.750 1
Rh1 0.250 0.250 0.250 1
```

Output
D(E_F)	2.004	states/eV per atom
formation energy	-0.2258	eV/atom

---

First-principles (PBE) data for a relaxed NpMnRuPt crystal, as listed in Alexandria.

CIF file:
```
data_NpMnRuPt
_space_group_name_H-M_alt 'F -4 3 m'
_space_group_IT_number 216
_space_group_name_Hall 'F -4 2 3'
_cell_length_a 6.552
_cell_length_b 6.552
_cell_length_c 6.552
_cell_angle_alpha 90.00
_cell_angle_beta 90.00
_cell_angle_gamma 90.00
loop_
_atom_site_label
_atom_site_fract_x
_atom_site_fract_y
_atom_site_fract_z
_atom_site_occupancy
Np1 0.000 0.000 0.000 1
Mn1 0.000 0.000 0.500 1
Ru1 0.250 0.250 0.750 1
Pt1 0.250 0.250 0.250 1
```

Output
D(E_F)	1.563	states/eV per atom
formation energy	-0.0988	eV/atom

---

First-principles (PBE) data for a relaxed Np2MnSi3Pt4 crystal, as listed in Alexandria.

CIF file:
```
data_Np2MnSi3Pt4
_space_group_name_H-M_alt 'P -4 m 2'
_space_group_IT_number 115
_cell_length_a 4.135
_cell_length_b 4.135
_cell_length_c 10.344
_cell_angle_alpha 90.00
_cell_angle_beta 90.00
_cell_angle_gamma 90.00
loop_
_space_group_symop_operation_xyz
'x,y,z'
'y,-x,-z'
'-x,-y,z'
'-y,x,-z'
'-x,y,z'
'-y,-x,-z'
'x,-y,z'
'y,x,-z'
loop_
_atom_site_label
_atom_site_fract_x
_atom_site_fract_y
_atom_site_fract_z
_atom_site_occupancy
Np1 0.000 0.500 0.247 1
Mn1 0.500 0.500 0.000 1
Si1 0.000 0.000 0.000 1
Si2 0.000 0.500 0.633 1
Pt1 0.000 0.000 0.500 1
Pt2 0.000 0.500 0.861 1
Pt3 0.500 0.500 0.500 1
```

Output
D(E_F)	2.680	states/eV per atom
total energy	-81.7	eV/cell